SrAl2Te GGA-PBE relaxed; symmetry = Imm2 (44); formation energy without anion corrections = -265 meV per atom; DFT total energy = -3.3422 eV per atom
1.0
-2.2457 2.3801 5.1703
2.2457 -2.3801 5.1703
2.2457 2.3801 -5.1703
Sr Al Te
1 2 1
Direct
0.0000 0.0000 0.0000
0.5866 0.5866 0.0000
0.7557 0.2557 0.5000
0.2557 0.7557 0.5000